1.
# Tc3SnIr (SCAN, single point on PBEsol structure)
data_Tc3SnIr
_chemical_formula_sum 'Tc3 Sn1 Ir1'
_space_group_name_H-M_alt 'P 1'
_space_group_IT_number 1
_space_group_name_Hall 'P 1'
_cell_length_a 4.6575
_cell_length_b 4.6575
_cell_length_c 4.6575
_cell_angle_alpha 90.00
_cell_angle_beta 90.00
_cell_angle_gamma 90.00
loop_
_atom_site_label
_atom_site_type_symbol
_atom_site_fract_x
_atom_site_fract_y
_atom_site_fract_z
Ir1 Ir 0.0000 0.0000 0.0000
Sn1 Sn 0.5000 0.5000 0.5000
Tc1 Tc 0.0000 0.5000 0.0000
Tc2 Tc 0.0000 0.0000 0.5000
Tc3 Tc 0.5000 0.0000 0.0000
# - formation energy from the elements (eV/atom) = 1.52
# - symmetry = Pm-3m, No. 221

2.
# SnTeIr3 (SCAN, single point on PBEsol structure)
data_SnTeIr3
_chemical_formula_sum 'Sn1 Te1 Ir3'
_space_group_name_H-M_alt 'P 1'
_space_group_IT_number 1
_space_group_name_Hall 'P 1'
_cell_length_a 4.8133
_cell_length_b 4.8133
_cell_length_c 4.8133
_cell_angle_alpha 90.00
_cell_angle_beta 90.00
_cell_angle_gamma 90.00
loop_
_atom_site_label
_atom_site_type_symbol
_atom_site_fract_x
_atom_site_fract_y
_atom_site_fract_z
Ir1 Ir 0.0000 0.5000 0.0000
Ir2 Ir 0.0000 0.0000 0.5000
Ir3 Ir 0.5000 0.0000 0.0000
Te1 Te 0.5000 0.5000 0.5000
Sn1 Sn 0.0000 0.0000 0.0000
# - symmetry = Pm-3m, No. 221
# - ΔE_f (raw) (meV per atom) = 1907

3.
# SnTeIr2 (SCAN, single point on PBEsol structure)
data_SnTeIr2
_chemical_formula_sum 'Sn1 Te1 Ir2'
_space_group_name_H-M_alt 'P 1'
_space_group_IT_number 1
_space_group_name_Hall 'P 1'
_cell_length_a 4.6491
_cell_length_b 4.6491
_cell_length_c 4.6491
_cell_angle_alpha 60.00
_cell_angle_beta 60.00
_cell_angle_gamma 60.00
loop_
_atom_site_label
_atom_site_type_symbol
_atom_site_fract_x
_atom_site_fract_y
_atom_site_fract_z
Ir1 Ir 0.2500 0.2500 0.2500
Ir2 Ir 0.7500 0.7500 0.7500
Te1 Te 0.5000 0.5000 0.5000
Sn1 Sn 0.0000 0.0000 0.0000
# - symmetry = Fm-3m, No. 225
# - ΔE_f (raw) (meV per atom) = 494

4.
# Sn3Te3Ir2 (SCAN, single point on PBEsol structure)
data_Sn3Te3Ir2
_chemical_formula_sum 'Sn12 Te12 Ir8'
_space_group_name_H-M_alt 'P 1'
_space_group_IT_number 1
_space_group_name_Hall 'P 1'
_cell_length_a 9.3329
_cell_length_b 9.3329
_cell_length_c 9.3329
_cell_angle_alpha 89.90
_cell_angle_beta 89.90
_cell_angle_gamma 89.90
loop_
_atom_site_label
_atom_site_type_symbol
_atom_site_fract_x
_atom_site_fract_y
_atom_site_fract_z
Sn1 Sn 0.6604 0.5003 0.1738
Sn2 Sn 0.3396 0.4997 0.8262
Sn3 Sn 0.4997 0.8262 0.3396
Sn4 Sn 0.8262 0.3396 0.4997
Sn5 Sn 0.5003 0.1738 0.6604
Sn6 Sn 0.1738 0.6604 0.5003
Sn7 Sn 0.1599 0.9985 0.3260
Sn8 Sn 0.9985 0.3260 0.1599
Sn9 Sn 0.6740 0.8401 0.0015
Sn10 Sn 0.0015 0.6740 0.8401
Sn11 Sn 0.8401 0.0015 0.6740
Sn12 Sn 0.3260 0.1599 0.9985
Te1 Te 0.9998 0.3458 0.8492
Te2 Te 0.8492 0.9998 0.3458
Te3 Te 0.1540 0.3498 0.4980
Te4 Te 0.4980 0.1540 0.3498
Te5 Te 0.6502 0.5020 0.8460
Te6 Te 0.3498 0.4980 0.1540
Te7 Te 0.8460 0.6502 0.5020
Te8 Te 0.5020 0.8460 0.6502
Te9 Te 0.6542 0.1508 0.0002
Te10 Te 0.0002 0.6542 0.1508
Te11 Te 0.1508 0.0002 0.6542
Te12 Te 0.3458 0.8492 0.9998
Ir1 Ir 0.7517 0.2528 0.7526
Ir2 Ir 0.2528 0.7526 0.7517
Ir3 Ir 0.7526 0.7517 0.2528
Ir4 Ir 0.2483 0.7472 0.2474
Ir5 Ir 0.7472 0.2474 0.2483
Ir6 Ir 0.2474 0.2483 0.7472
Ir7 Ir 0.2514 0.2514 0.2514
Ir8 Ir 0.7486 0.7486 0.7486
# - symmetry = R-3, No. 148
# - ΔE_f (raw) (meV per atom) = -484

5.
# TiSnIr (SCAN, single point on PBEsol structure)
data_TiSnIr
_chemical_formula_sum 'Ti1 Sn1 Ir1'
_space_group_name_H-M_alt 'P 1'
_space_group_IT_number 1
_space_group_name_Hall 'P 1'
_cell_length_a 4.3331
_cell_length_b 4.3331
_cell_length_c 4.3331
_cell_angle_alpha 60.00
_cell_angle_beta 60.00
_cell_angle_gamma 60.00
loop_
_atom_site_label
_atom_site_type_symbol
_atom_site_fract_x
_atom_site_fract_y
_atom_site_fract_z
Ir1 Ir 0.2500 0.2500 0.2500
Sn1 Sn 0.5000 0.5000 0.5000
Ti1 Ti 0.0000 0.0000 0.0000
# - formation energy from the elements (eV/atom) = -0.76
# - symmetry = F-43m, No. 216

6.
# Ti2SnIr2 (SCAN, single point on PBEsol structure)
data_Ti2SnIr2
_chemical_formula_sum 'Ti2 Sn1 Ir2'
_space_group_name_H-M_alt 'P 1'
_space_group_IT_number 1
_space_group_name_Hall 'P 1'
_cell_length_a 4.1522
_cell_length_b 4.1522
_cell_length_c 6.0192
_cell_angle_alpha 110.18
_cell_angle_beta 110.18
_cell_angle_gamma 90.00
loop_
_atom_site_label
_atom_site_type_symbol
_atom_site_fract_x
_atom_site_fract_y
_atom_site_fract_z
Ir1 Ir 0.3799 0.3799 0.7598
Ir2 Ir 0.6201 0.6201 0.2402
Sn1 Sn 0.0000 0.0000 0.0000
Ti1 Ti 0.2500 0.7500 0.5000
Ti2 Ti 0.7500 0.2500 0.5000
# - formation energy from the elements (eV/atom) = -0.65
# - symmetry = I4/mmm, No. 139

7.
# TlSn2Ir (SCAN, single point on PBEsol structure)
data_TlSn2Ir
_chemical_formula_sum 'Tl1 Sn2 Ir1'
_space_group_name_H-M_alt 'P 1'
_space_group_IT_number 1
_space_group_name_Hall 'P 1'
_cell_length_a 4.9219
_cell_length_b 4.9219
_cell_length_c 4.9219
_cell_angle_alpha 60.00
_cell_angle_beta 60.00
_cell_angle_gamma 60.00
loop_
_atom_site_label
_atom_site_type_symbol
_atom_site_fract_x
_atom_site_fract_y
_atom_site_fract_z
Tl1 Tl 0.5000 0.5000 0.5000
Ir1 Ir 0.0000 0.0000 0.0000
Sn1 Sn 0.2500 0.2500 0.2500
Sn2 Sn 0.7500 0.7500 0.7500
# - formation energy from the elements (eV/atom) = 0.45
# - symmetry = Fm-3m, No. 225

8.
# TlSnIr3 (SCAN, single point on PBEsol structure)
data_TlSnIr3
_chemical_formula_sum 'Tl1 Sn1 Ir3'
_space_group_name_H-M_alt 'P 1'
_space_group_IT_number 1
_space_group_name_Hall 'P 1'
_cell_length_a 4.8151
_cell_length_b 4.8151
_cell_length_c 4.8151
_cell_angle_alpha 90.00
_cell_angle_beta 90.00
_cell_angle_gamma 90.00
loop_
_atom_site_label
_atom_site_type_symbol
_atom_site_fract_x
_atom_site_fract_y
_atom_site_fract_z
Tl1 Tl 0.5000 0.5000 0.5000
Ir1 Ir 0.0000 0.5000 0.0000
Ir2 Ir 0.0000 0.0000 0.5000
Ir3 Ir 0.5000 0.0000 0.0000
Sn1 Sn 0.0000 0.0000 0.0000
# - formation energy from the elements (eV/atom) = 1.89
# - symmetry = Pm-3m, No. 221

9.
# USnIr (SCAN, single point on PBEsol structure)
data_USnIr
_chemical_formula_sum 'U3 Sn3 Ir3'
_space_group_name_H-M_alt 'P 1'
_space_group_IT_number 1
_space_group_name_Hall 'P 1'
_cell_length_a 4.0168
_cell_length_b 7.2465
_cell_length_c 7.2465
_cell_angle_alpha 120.00
_cell_angle_beta 90.00
_cell_angle_gamma 90.00
loop_
_atom_site_label
_atom_site_type_symbol
_atom_site_fract_x
_atom_site_fract_y
_atom_site_fract_z
Ir1 Ir 0.0000 0.3333 0.6667
Ir2 Ir 0.0000 0.6667 0.3333
Ir3 Ir 0.5000 0.0000 0.0000
U1 U 0.5000 0.5851 0.0000
U2 U 0.5000 0.4149 0.4149
U3 U 0.5000 0.0000 0.5851
Sn1 Sn 0.0000 0.0000 0.2538
Sn2 Sn 0.0000 0.7462 0.7462
Sn3 Sn 0.0000 0.2538 0.0000
# - formation energy from the elements (eV/atom) = -0.45
# - symmetry = P-62m, No. 189

10.
# YSnIr (SCAN, single point on PBEsol structure)
data_YSnIr
_chemical_formula_sum 'Y4 Sn4 Ir4'
_space_group_name_H-M_alt 'P 1'
_space_group_IT_number 1
_space_group_name_Hall 'P 1'
_cell_length_a 4.5221
_cell_length_b 6.8732
_cell_length_c 7.9593
_cell_angle_alpha 90.00
_cell_angle_beta 90.00
_cell_angle_gamma 90.00
loop_
_atom_site_label
_atom_site_type_symbol
_atom_site_fract_x
_atom_site_fract_y
_atom_site_fract_z
Y1 Y 0.2500 0.0200 0.3103
Y2 Y 0.7500 0.9800 0.6897
Y3 Y 0.2500 0.5200 0.1897
Y4 Y 0.7500 0.4800 0.8103
Ir1 Ir 0.7500 0.2331 0.1025
Ir2 Ir 0.7500 0.7331 0.3975
Ir3 Ir 0.2500 0.2669 0.6025
Ir4 Ir 0.2500 0.7669 0.8975
Sn1 Sn 0.2500 0.6661 0.5735
Sn2 Sn 0.7500 0.8339 0.0735
Sn3 Sn 0.7500 0.3339 0.4265
Sn4 Sn 0.2500 0.1661 0.9265
# - formation energy from the elements (eV/atom) = -1.00
# - symmetry = Pnma, No. 62

11.
# ZrSnIr3 (SCAN, single point on PBEsol structure)
data_ZrSnIr3
_chemical_formula_sum 'Zr1 Sn1 Ir3'
_space_group_name_H-M_alt 'P 1'
_space_group_IT_number 1
_space_group_name_Hall 'P 1'
_cell_length_a 4.7307
_cell_length_b 4.7307
_cell_length_c 4.7307
_cell_angle_alpha 90.00
_cell_angle_beta 90.00
_cell_angle_gamma 90.00
loop_
_atom_site_label
_atom_site_type_symbol
_atom_site_fract_x
_atom_site_fract_y
_atom_site_fract_z
Ir1 Ir 0.0000 0.5000 0.0000
Ir2 Ir 0.0000 0.0000 0.5000
Ir3 Ir 0.5000 0.0000 0.0000
Sn1 Sn 0.0000 0.0000 0.0000
Zr1 Zr 0.5000 0.5000 0.5000
# - formation energy from the elements (eV/atom) = 1.33
# - symmetry = Pm-3m, No. 221

12.
# Sr5Ir (SCAN, single point on PBEsol structure)
data_Sr5Ir
_chemical_formula_sum 'Sr5 Ir1'
_space_group_name_H-M_alt 'P 1'
_space_group_IT_number 1
_space_group_name_Hall 'P 1'
_cell_length_a 3.8651
_cell_length_b 7.2009
_cell_length_c 9.6686
_cell_angle_alpha 70.98
_cell_angle_beta 78.47
_cell_angle_gamma 74.43
loop_
_atom_site_label
_atom_site_type_symbol
_atom_site_fract_x
_atom_site_fract_y
_atom_site_fract_z
Sr1 Sr 0.1612 0.4396 0.2381
Sr2 Sr 0.8388 0.5604 0.7619
Sr3 Sr 0.8857 0.8411 0.3875
Sr4 Sr 0.5000 0.0000 0.0000
Sr5 Sr 0.1143 0.1589 0.6125
Ir1 Ir 0.5000 0.5000 0.5000
# - formation energy from the elements (eV/atom) = -0.03
# - symmetry = C2/m, No. 12

13.
# SrIr4 (SCAN, single point on PBEsol structure)
data_SrIr4
_chemical_formula_sum 'Sr1 Ir4'
_space_group_name_H-M_alt 'P 1'
_space_group_IT_number 1
_space_group_name_Hall 'P 1'
_cell_length_a 5.0631
_cell_length_b 5.0631
_cell_length_c 5.0631
_cell_angle_alpha 109.47
_cell_angle_beta 109.47
_cell_angle_gamma 109.47
loop_
_atom_site_label
_atom_site_type_symbol
_atom_site_fract_x
_atom_site_fract_y
_atom_site_fract_z
Ir1 Ir 0.0000 0.0000 0.5000
Ir2 Ir 0.0000 0.5000 0.0000
Ir3 Ir 0.5000 0.0000 0.0000
Ir4 Ir 0.5000 0.5000 0.5000
Sr1 Sr 0.0000 0.0000 0.0000
# - formation energy from the elements (eV/atom) = 2.53
# - symmetry = Im-3m, No. 229

no.,volume (A^3/atom)
1,20.2
2,22.3
3,17.8
4,25.4
5,19.2
6,18.1
7,21.1
8,22.3
9,20.3
10,20.6
11,21.2
12,40.5
13,20.0